YCdBr3: optimized geometry, PBE.

abc: 5.481 5.481 5.481
angles: 90.00 90.00 90.00
Atoms (fractional coordinates):
Y (0.000, 0.000, 0.000)
Cd (0.500, 0.500, 0.500)
Br (0.000, 0.500, 0.500)
Br (0.500, 0.000, 0.500)
Br (0.500, 0.500, 0.000)

Summary:
Distance to the lowest polymorph of the same formula in meV/atom: 885
Space group: Pm-3m (221)
E_tot in eV/atom: -2.846
Total magnetization in μB/cell: 1.5